# 1
DFT (PBE) results for crystalline SnSeOF2 at its relaxed geometry.

extended XYZ file:
```
5
Lattice="-1.680 1.053 3.971 -3.755 -2.135 -1.022 1.514 -3.401 1.542" Properties=species:S:1:pos:R:3 pbc="T T T"
F -0.840 0.527 1.986
F -1.877 -1.068 -0.511
O 0.757 -1.700 0.771
Sn 0.000 0.000 0.000
Se -1.960 -2.241 2.246
```

Calculated values
The calculation puts the total energy at -4.25 eV per atom. The value obtained for the size of the total moment is 2.31 μB per formula unit. The value obtained for the excess energy over the best structure of this formula in the dataset is 0 meV per atom. The crystal system is tetragonal.


# 2
DFT (PBE) results for crystalline CaBPd3 at its relaxed geometry.

extended XYZ file:
```
10
Lattice="-1.783 -2.659 -5.107 4.275 -3.785 0.478 -5.038 -0.805 2.171" Properties=species:S:1:pos:R:3 pbc="T T T"
Ca -2.890 -2.868 -3.306
Ca 0.219 -3.579 -0.470
Pd -4.943 -2.729 -0.917
Pd -0.946 -4.948 -2.909
Pd -2.766 -4.523 -0.688
Pd -1.889 -3.214 1.826
Pd -1.724 -1.498 -0.867
Pd -4.037 -1.380 1.676
B -3.123 -2.600 0.186
B -4.586 -4.652 -1.791
```

Calculated values
The calculation puts the total energy at -5.41 eV per atom. The value obtained for the size of the total moment is 0.00 μB per formula unit. Its energy relative to the elements is -2.78 eV/f.u. The crystal system is triclinic.


# 3
DFT (PBE) results for crystalline KRhAu3 at its relaxed geometry.

extended XYZ file:
```
5
Lattice="5.143 0.000 0.000 0.000 5.143 0.000 0.000 0.000 5.143" Properties=species:S:1:pos:R:3 pbc="T T T"
Au 0.000 0.000 2.572
Au 0.000 2.572 0.000
Au 2.572 0.000 0.000
Rh 0.000 0.000 0.000
K 2.572 2.572 2.572
```

Calculated values
The calculation puts the total energy at -3.35 eV per atom. The value obtained for the size of the total moment is 0.94 μB per formula unit. The value obtained for the excess energy over the best structure of this formula in the dataset is 0 meV per atom. Its energy relative to the elements is 1.53 eV/f.u. The crystal system is cubic.


# 4
DFT (PBE) results for crystalline Dy7Er4Pu at its relaxed geometry.

extended XYZ file:
```
12
Lattice="5.523 -1.256 1.683 0.443 8.537 3.849 0.636 1.127 8.595" Properties=species:S:1:pos:R:3 pbc="T T T"
Dy 3.571 7.116 8.142
Dy 3.032 1.292 5.985
Dy 2.762 -0.628 0.842
Dy 5.930 2.042 7.478
Dy 1.669 4.932 2.794
Dy 0.673 6.367 6.649
Dy 4.934 3.476 11.333
Er 2.708 3.854 8.544
Er 3.895 4.555 5.583
Er 5.764 6.996 11.125
Er 0.839 1.413 3.002
Pu 0.000 0.000 0.000
```

Calculated values
The calculation puts the total energy at -5.27 eV per atom. The value obtained for the size of the total moment is 5.95 μB per formula unit. Its energy relative to the elements is 1.61 eV/f.u. The crystal system is triclinic.


# 5
DFT (PBE) results for crystalline KB2O3 at its relaxed geometry.

extended XYZ file:
```
12
Lattice="-2.888 3.175 -1.001 -0.707 -2.406 -5.593 -3.963 -2.328 4.055" Properties=species:S:1:pos:R:3 pbc="T T T"
B -5.518 -2.542 -1.841
B -2.041 0.982 -0.697
B -0.597 -0.605 -0.196
B -4.074 -4.129 -1.341
O -5.576 -1.252 -2.432
O -3.087 1.272 -1.613
O -4.238 -1.545 2.481
O -4.472 -2.831 -0.925
O -3.320 -0.015 -5.019
O -1.982 -0.308 -0.106
K -5.117 0.029 0.305
K -2.442 -1.588 -2.844
```

Calculated values
The calculation puts the total energy at -6.49 eV per atom. The value obtained for the size of the total moment is 1.00 μB per formula unit. The crystal system is orthorhombic.


# 6
DFT (PBE) results for crystalline Na2CdTe at its relaxed geometry.

extended XYZ file:
```
4
Lattice="-5.096 -0.603 1.806 -4.107 -0.432 -3.541 -2.563 -4.757 -0.627" Properties=species:S:1:pos:R:3 pbc="T T T"
Na -8.824 -4.344 -1.772
Na -2.941 -1.448 -0.591
Te -5.883 -2.896 -1.181
Cd 0.000 0.000 0.000
```

Calculated values
The calculation puts the total energy at -2.19 eV per atom. The value obtained for the size of the total moment is 0.00 μB per formula unit. The value obtained for the excess energy over the best structure of this formula in the dataset is 0 meV per atom. The crystal system is cubic.


# 7
DFT (PBE) results for crystalline ZrSb2Ir at its relaxed geometry.

extended XYZ file:
```
4
Lattice="8.241 0.200 0.120 7.319 3.793 0.120 7.319 1.878 3.298" Properties=species:S:1:pos:R:3 pbc="T T T"
Ir 17.189 4.411 2.658
Zr 11.126 2.855 1.721
Sb 5.640 1.447 0.872
Sb 0.362 0.093 0.056
```

Calculated values
The calculation puts the total energy at -6.58 eV per atom. The value obtained for the size of the total moment is 0.00 μB per formula unit. The value obtained for the excess energy over the best structure of this formula in the dataset is 202 meV per atom. The crystal system is trigonal.


# 8
DFT (PBE) results for crystalline La4HoAg at its relaxed geometry.

extended XYZ file:
```
6
Lattice="-0.158 -2.931 -2.359 3.583 0.603 -0.990 4.247 -8.450 10.209" Properties=species:S:1:pos:R:3 pbc="T T T"
Ag 3.835 -5.389 3.430
Ho 0.000 0.000 0.000
La 2.718 -5.408 6.535
La 4.953 -5.370 0.326
La 5.214 -8.133 6.746
La 2.456 -2.645 0.115
```

Calculated values
The calculation puts the total energy at -4.59 eV per atom. The value obtained for the size of the total moment is 0.00 μB per formula unit. Its energy relative to the elements is -0.39 eV/f.u. The crystal system is tetragonal.


# 9
DFT (PBE) results for crystalline KSrTe2 at its relaxed geometry.

extended XYZ file:
```
4
Lattice="-2.777 -2.663 -4.118 -0.292 -4.634 3.194 -3.788 1.383 1.660" Properties=species:S:1:pos:R:3 pbc="T T T"
Te -1.534 -3.649 -0.462
Te 0.000 0.000 0.000
Sr -2.040 -1.626 2.427
K -3.282 -0.640 -1.229
```

Calculated values
The calculation puts the total energy at -3.35 eV per atom. The value obtained for the size of the total moment is 0.00 μB per formula unit. The crystal system is tetragonal.


# 10
DFT (PBE) results for crystalline Ba4CdSi3 at its relaxed geometry.

extended XYZ file:
```
8
Lattice="5.029 0.000 0.000 0.000 4.358 0.000 0.000 0.000 12.593" Properties=species:S:1:pos:R:3 pbc="T T T"
Si 0.000 2.179 7.055
Si 2.515 0.000 11.655
Si 0.000 0.000 5.664
Ba 0.000 0.000 1.820
Ba 2.515 0.000 8.044
Ba 0.000 2.179 10.700
Ba 2.515 2.179 4.723
Cd 2.515 2.179 0.709
```

Calculated values
The calculation puts the total energy at -3.44 eV per atom. The value obtained for the size of the total moment is 0.00 μB per formula unit. The crystal system is orthorhombic.


# 11
DFT (PBE) results for crystalline YTiReH2 at its relaxed geometry.

extended XYZ file:
```
5
Lattice="3.806 0.000 0.000 0.000 5.253 0.000 0.000 0.000 3.806" Properties=species:S:1:pos:R:3 pbc="T T T"
Ti 1.903 2.627 1.903
H 1.903 0.000 0.000
H 0.000 0.000 1.903
Y 0.000 2.627 0.000
Re 0.000 0.000 0.000
```

Calculated values
The calculation puts the total energy at -5.53 eV per atom. The value obtained for the size of the total moment is 0.00 μB per formula unit. The crystal system is tetragonal.


# 12
DFT (PBE) results for crystalline Li5Sb3 at its relaxed geometry.

extended XYZ file:
```
16
Lattice="9.084 -0.085 -1.397 -7.047 4.482 0.542 -2.351 -2.845 8.988" Properties=species:S:1:pos:R:3 pbc="T T T"
Li 1.549 1.612 4.675
Li -5.890 3.402 1.528
Li -2.204 2.554 1.482
Li -3.773 1.817 5.164
Li 0.704 1.543 2.074
Li -1.025 0.010 6.060
Li -1.870 -0.059 3.459
Li 3.451 -0.264 2.968
Li 1.883 -1.000 6.652
Li 5.568 -1.849 6.607
Sb 0.917 -1.031 3.782
Sb 0.149 3.473 -0.065
Sb -0.471 -1.920 8.199
Sb -1.238 2.585 4.353
Sb 4.543 0.889 0.584
Sb -4.864 0.664 7.550
```

Calculated values
The calculation puts the total energy at -3.20 eV per atom. The value obtained for the size of the total moment is 0.00 μB per formula unit. The value obtained for the excess energy over the best structure of this formula in the dataset is 2 meV per atom. The crystal system is triclinic.